No. 1
A plane-wave DFT calculation with PBE was carried out for an optimized crystal structure of Ca3PdPb.

Geometry as POSCAR:
```
Ca3PdPb
1.0
-0.783 3.669 -4.029
-3.495 -5.582 -4.404
-4.333 4.463 4.906
Pb Ca Pd
2 6 2
Direct
0.750 0.667 0.333 Pb
0.250 0.333 0.667 Pb
0.750 0.184 0.368 Ca
0.750 0.184 0.816 Ca
0.250 0.368 0.184 Ca
0.250 0.816 0.632 Ca
0.250 0.816 0.184 Ca
0.750 0.632 0.816 Ca
0.500 0.000 0.000 Pd
0.000 0.000 0.000 Pd
```

## Properties
**DFT formation energy**: -0.55 eV/atom

No. 2
A plane-wave DFT calculation with PBE was carried out for an optimized crystal structure of TaTeBr.

Geometry as POSCAR:
```
TaTeBr
1.0
-2.104 -8.347 0.139
1.216 -8.247 -0.012
-1.241 -0.577 3.030
Te Ta Br
1 1 1
Direct
0.705 0.705 0.295 Te
0.335 0.335 0.665 Ta
0.960 0.960 0.040 Br
```

## Properties
**VASP energy**: -5.500 eV per atom

No. 3
A plane-wave DFT calculation with PBE was carried out for an optimized crystal structure of SrZn2Ir.

Geometry as POSCAR:
```
SrZn2Ir
1.0
-2.680 -1.135 -3.076
5.255 -2.736 -0.633
-2.407 -5.586 4.159
Sr Zn Ir
2 4 2
Direct
0.443 0.884 0.750 Sr
0.557 0.116 0.250 Sr
0.829 0.658 0.438 Zn
0.171 0.342 0.562 Zn
0.171 0.342 0.938 Zn
0.829 0.658 0.062 Zn
0.279 0.557 0.250 Ir
0.721 0.443 0.750 Ir
```

## Properties
**DFT formation energy**: -0.31 eV/atom

No. 4
A plane-wave DFT calculation with PBE was carried out for an optimized crystal structure of Pr5Zn4Ag.

Geometry as POSCAR:
```
Pr5Zn4Ag
1.0
-2.788 -0.885 2.324
2.486 -1.085 2.569
0.329 17.194 6.942
Pr Zn Ag
5 4 1
Direct
0.500 0.500 0.699 Pr
0.500 0.500 0.895 Pr
0.500 0.500 0.301 Pr
0.500 0.500 0.105 Pr
0.500 0.500 0.500 Pr
0.000 0.000 0.204 Zn
0.000 0.000 0.796 Zn
0.000 0.000 0.600 Zn
0.000 0.000 0.400 Zn
0.000 0.000 0.000 Ag
```

## Properties
**DFT formation energy**: -0.29 eV/atom

Number 1: Fermi-level density of states 0.232 states/eV per atom. Number 2: Fermi-level density of states 0.757 states/eV per atom. Number 3: Fermi-level density of states 0.720 states/eV per atom. Number 4: Fermi-level density of states 1.066 states/eV per atom.